# Rb2IrS2

A relaxed Rb2IrS2 crystal (PBE, the Alexandria database).

Summary:
* uncorrected formation energy: 0.493 eV per atom
* SG: I4/mmm (139)
* density of states at the Fermi level: 5.1 states/eV/cell

abc: 10.983 10.983 10.983
angles: 161.63 161.63 26.10
Sites, in units of the cell vectors:
Rb1 0.113 0.113 0.000
Rb2 0.887 0.887 0.000
Ir1 0.500 0.500 0.000
S1 0.250 0.750 0.500
S2 0.750 0.250 0.500